Entry 1:
# Zn5In12Sn3 | Alexandria via LeMat-Bulk | PBE | optimized geometry
data_Zn5In12Sn3
_space_group_name_H-M_alt 'I a -3 d'
_space_group_IT_number 230
_space_group_name_Hall '-I 4bd 2c 3'
_cell_length_a 16.749
_cell_length_b 16.749
_cell_length_c 16.749
_cell_angle_alpha 90.00
_cell_angle_beta 90.00
_cell_angle_gamma 90.00
loop_
_atom_site_label
_atom_site_fract_x
_atom_site_fract_y
_atom_site_fract_z
Zn1 0.000 0.000 0.000
Zn2 0.000 0.250 0.375
In1 0.022 0.070 0.648
Sn1 0.000 0.250 0.125
# Electronic total energy ... -2.409 eV/atom
# Crystal system ... cubic


Entry 2:
# Zn2InSn | Alexandria via LeMat-Bulk | PBE | optimized geometry
data_Zn2InSn
_space_group_name_H-M_alt 'I -4 2 d'
_space_group_IT_number 122
_space_group_name_Hall 'I -4 2bw'
_cell_length_a 4.590
_cell_length_b 4.590
_cell_length_c 17.745
_cell_angle_alpha 90.00
_cell_angle_beta 90.00
_cell_angle_gamma 90.00
loop_
_atom_site_label
_atom_site_fract_x
_atom_site_fract_y
_atom_site_fract_z
Zn1 0.231 0.250 0.125
In1 0.000 0.000 0.000
Sn1 0.000 0.000 0.500
# Offset from the most stable computed form ... 13.5 kJ/mol of formula units
# Electronic total energy ... -2.177 eV/atom
# Crystal system ... tetragonal


Entry 3:
# Zn3InSn | Alexandria via LeMat-Bulk | PBE | optimized geometry
data_Zn3InSn
_space_group_name_H-M_alt 'P m -3 m'
_space_group_IT_number 221
_space_group_name_Hall '-P 4 2 3'
_cell_length_a 5.233
_cell_length_b 5.233
_cell_length_c 5.233
_cell_angle_alpha 90.00
_cell_angle_beta 90.00
_cell_angle_gamma 90.00
loop_
_atom_site_label
_atom_site_fract_x
_atom_site_fract_y
_atom_site_fract_z
Zn1 0.000 0.000 0.500
In1 0.500 0.500 0.500
Sn1 0.000 0.000 0.000
# Offset from the most stable computed form ... 0.0 kJ/mol of formula units
# Electronic total energy ... -1.661 eV/atom
# Crystal system ... cubic


Entry 4:
# ZnInSn | Alexandria via LeMat-Bulk | PBE | optimized geometry
data_ZnInSn
_space_group_name_H-M_alt 'P -1'
_space_group_IT_number 2
_cell_length_a 3.305
_cell_length_b 5.883
_cell_length_c 8.073
_cell_angle_alpha 111.06
_cell_angle_beta 94.07
_cell_angle_gamma 90.71
loop_
_space_group_symop_operation_xyz
'x,y,z'
'-x,-y,-z'
loop_
_atom_site_label
_atom_site_fract_x
_atom_site_fract_y
_atom_site_fract_z
Zn1 0.248 0.144 0.289
In1 0.201 0.704 0.390
Sn1 0.269 0.723 0.971
# Electronic total energy ... -2.581 eV/atom
# Crystal system ... triclinic


Entry 5:
# Zn2In2Sn | Alexandria via LeMat-Bulk | PBE | optimized geometry
data_Zn2In2Sn
_space_group_name_H-M_alt 'P 4/m b m'
_space_group_IT_number 127
_space_group_name_Hall '-P 4 2ab'
_cell_length_a 8.269
_cell_length_b 8.269
_cell_length_c 3.376
_cell_angle_alpha 90.00
_cell_angle_beta 90.00
_cell_angle_gamma 90.00
loop_
_atom_site_label
_atom_site_fract_x
_atom_site_fract_y
_atom_site_fract_z
Zn1 0.160 0.340 0.000
In1 0.139 0.639 0.500
Sn1 0.000 0.000 0.500
# Electronic total energy ... -2.260 eV/atom
# Crystal system ... tetragonal


Entry 6:
# ZnInSn | Alexandria via LeMat-Bulk | PBE | optimized geometry
data_ZnInSn
_space_group_name_H-M_alt 'P -1'
_space_group_IT_number 2
_cell_length_a 4.181
_cell_length_b 5.424
_cell_length_c 6.653
_cell_angle_alpha 80.17
_cell_angle_beta 73.08
_cell_angle_gamma 88.86
loop_
_space_group_symop_operation_xyz
'x,y,z'
'-x,-y,-z'
loop_
_atom_site_label
_atom_site_fract_x
_atom_site_fract_y
_atom_site_fract_z
Zn1 0.238 0.338 0.038
In1 0.428 0.722 0.630
Sn1 0.126 0.817 0.229
# Electronic total energy ... -2.609 eV/atom
# Crystal system ... triclinic